First-principles (PBE-GGA) data for a relaxed LiSm2Ho crystal, as listed in the Alexandria database.

Lattice parameters (Å, degrees): 3.5339 3.5339 34.0663 90.00 90.00 120.00
Space group R3m (No. 160, hexagonal axes)
Symmetry-distinct sites (fractional):
1 Li 0.0000 0.0000 0.0000 [3 per cell]
2 Sm 0.0000 0.0000 0.2510 [3 per cell]
3 Sm 0.0000 0.0000 0.4156 [3 per cell]
4 Ho 0.0000 0.0000 0.8332 [3 per cell]

## Properties
**Excess energy over the best structure of this formula in the dataset**: 0.008 eV/atom
**D(E_F)**: 3.17 states/eV/f.u.
**Energy relative to the elements**: 0.076 eV/atom
**Magnetization**: 0.00 μB per cell